No. 1
A relaxed structure of TaCrAg3, computed with PBE.

It has space group Pm-3m (No. 221), with a = 5.044 Å, b = 5.044 Å, c = 5.044 Å, α = 90.00°, β = 90.00° and γ = 90.00°. The inequivalent atoms are Ta at (0.000, 0.000, 0.000), Cr at (0.500, 0.500, 0.500) and Ag at (0.000, 0.000, 0.500).

Its total magnetization is 0.3 Bohr magnetons per cell. The energy of formation from the pure elements is 2201 meV per atom.

No. 2
A relaxed structure of TaCrAg, computed with PBE.

It has space group F-43m (No. 216), with a = 6.098 Å, b = 6.098 Å, c = 6.098 Å, α = 90.00°, β = 90.00° and γ = 90.00°. The inequivalent atoms are Ta at (0.000, 0.000, 0.000), Cr at (0.250, 0.250, 0.250) and Ag at (0.000, 0.000, 0.500).

Its total magnetization is 8.0 Bohr magnetons per cell. The energy of formation from the pure elements is 1125 meV per atom.

Q: Which of these has the highest energy of formation from the pure elements?
A: TaCrAg3